First-principles (PBE) data for an optimized crystal structure of BaLi2HfF8, as listed in Alexandria via LeMat-Bulk.

- raw total energy (eV for the cell shown) = -72.65
- raw formation energy (meV per atom) = -3497.7

POSCAR file:
```
BaLi2HfF8
1.0
2.471 1.427 7.998
-2.471 1.427 7.998
0.000 -2.854 7.998
Ba Li Hf F
1 2 1 8
direct
0.000 0.000 0.000 Ba
0.248 0.248 0.248 Li
0.752 0.752 0.752 Li
0.500 0.500 0.500 Hf
0.138 0.436 0.766 F
0.234 0.564 0.862 F
0.322 0.322 0.322 F
0.436 0.766 0.138 F
0.564 0.862 0.234 F
0.678 0.678 0.678 F
0.766 0.138 0.436 F
0.862 0.234 0.564 F
```